Record 1
# HgBiCl3

A geometry-optimized HgBiCl3 structure (PBE, Alexandria via LeMat-Bulk).

## Properties
Density of states at the Fermi level: 0.00 states/eV per atom
Formation energy from raw total energies: -0.654 eV/atom
Magnetic moment: 0.00 Bohr magnetons per cell
Energy relative to the lowest polymorph listed for this composition: 108 meV/atom
Total DFT energy (no corrections): -52.0 eV/cell

Cell lengths 9.8970, 6.8138, 11.0793 Å; angles 90.00, 118.13, 90.00 degrees
With the nearest neighbours (Å) after each atom.
Space group P2_1/c (No. 14)
Asymmetric unit:
1 Hg 0.0235 0.1744 0.4611  1 Cl 2.48, 1 Hg 2.64
2 Bi 0.4030 0.6874 0.4830  2 Cl 2.56-2.60
3 Cl 0.0759 0.0057 0.8843  1 Hg 2.48
4 Cl 0.3361 0.1408 0.3963  1 Bi 2.56
5 Cl 0.3588 0.6831 0.2320  1 Bi 2.60

Record 2
# HgBiCl3

A geometry-optimized HgBiCl3 structure (PBE, Alexandria via LeMat-Bulk).

## Properties
Density of states at the Fermi level: 0.00 states/eV per atom
Formation energy from raw total energies: -0.684 eV/atom
Magnetic moment: 0.00 Bohr magnetons per cell
Energy relative to the lowest polymorph listed for this composition: 78 meV/atom
Total DFT energy (no corrections): -52.6 eV/cell

Cell lengths 6.7209, 11.4742, 10.9099 Å; angles 90.00, 90.00, 90.00 degrees
With the nearest neighbours (Å) after each atom.
Space group Pnma (No. 62)
Asymmetric unit:
1 Hg 0.0000 0.0000 0.0000  2 Bi 3.60, 6 Cl 3.69-3.96
2 Bi 0.2315 0.2500 0.3895  3 Cl 2.48-2.53
3 Cl 0.0137 0.5954 0.6769  1 Bi 2.53
4 Cl 0.1340 0.2500 0.6087  1 Bi 2.48

Record 3
# HgBiCl

A geometry-optimized HgBiCl structure (PBE, Alexandria via LeMat-Bulk).

## Properties
Formation energy from raw total energies: -0.351 eV/atom
Magnetic moment: 0.00 Bohr magnetons per cell
Energy relative to the lowest polymorph listed for this composition: 7 meV/atom
Total DFT energy (no corrections): -14.2 eV/cell

Cell lengths 6.5645, 4.4534, 7.3734 Å; angles 90.00, 102.94, 90.00 degrees
With the nearest neighbours (Å) after each atom.
Space group Pm (No. 6)
Asymmetric unit:
1 Hg 0.0000 0.0000 0.0000  1 Cl 3.01, 1 Bi 3.15
2 Hg 0.3598 0.5000 0.8887  1 Cl 2.51, 1 Bi 2.79
3 Bi 0.3676 0.0000 0.3572  1 Cl 2.64
4 Bi 0.6379 0.5000 0.2354  1 Hg 2.79, 2 Bi 3.10
5 Cl 0.1100 0.5000 0.5769  1 Hg 2.51
6 Cl 0.6086 0.0000 0.6957  1 Bi 2.64

Record 4
# HgBiCl

A geometry-optimized HgBiCl structure (PBE, Alexandria via LeMat-Bulk).

## Properties
Density of states at the Fermi level: 0.15 states/eV per atom
Formation energy from raw total energies: -0.309 eV/atom
Magnetic moment: 0.00 Bohr magnetons per cell
Energy relative to the lowest polymorph listed for this composition: 48 meV/atom
Total DFT energy (no corrections): -7.0 eV/cell

Cell lengths 3.3839, 5.5284, 6.0988 Å; angles 90.75, 90.69, 90.06 degrees
With the nearest neighbours (Å) after each atom.
Space group P-1 (No. 2)
Asymmetric unit:
1 Hg 0.0000 0.0000 0.0000  2 Bi 3.05, 2 Hg 3.38
2 Bi 0.0000 0.0000 0.5000  2 Cl 2.76, 2 Hg 3.05
3 Cl 0.0000 0.5000 0.5000  2 Bi 2.76

Record 5
# HgBiCl

A geometry-optimized HgBiCl structure (PBE, Alexandria via LeMat-Bulk).

## Properties
Formation energy from raw total energies: -0.336 eV/atom
Magnetic moment: 0.00 Bohr magnetons per cell
Energy relative to the lowest polymorph listed for this composition: 21 meV/atom
Total DFT energy (no corrections): -28.2 eV/cell

Cell lengths 8.4464, 11.6518, 4.4471 Å; angles 90.00, 117.02, 90.00 degrees
With the nearest neighbours (Å) after each atom.
Space group Cc (No. 9)
Asymmetric unit:
1 Hg 0.0000 0.1266 0.0000  1 Cl 2.54, 1 Bi 2.81
2 Bi 0.1416 0.4080 0.3420  1 Hg 2.81, 2 Bi 3.09
3 Cl 0.2738 0.1501 0.9066  1 Hg 2.54

Record 6
# HgBiCl2

A geometry-optimized HgBiCl2 structure (PBE, Alexandria via LeMat-Bulk).

## Properties
Density of states at the Fermi level: 0.26 states/eV per atom
Formation energy from raw total energies: -0.477 eV/atom
Magnetic moment: 0.00 Bohr magnetons per cell
Energy relative to the lowest polymorph listed for this composition: 53 meV/atom
Total DFT energy (no corrections): -39.1 eV/cell

Cell lengths 9.5375, 9.5375, 6.1564 Å; angles 90.00, 90.00, 90.00 degrees
With the nearest neighbours (Å) after each atom.
Space group I-42d (No. 122)
Asymmetric unit:
1 Hg 0.0000 0.0000 0.0000  2 Bi 3.08
2 Bi 0.0000 0.0000 0.5000  4 Cl 2.81, 2 Hg 3.08
3 Cl 0.1340 0.2500 0.6250  2 Bi 2.81

Record 7
# HgBiCl3

A geometry-optimized HgBiCl3 structure (PBE, Alexandria via LeMat-Bulk).

## Properties
Density of states at the Fermi level: 0.00 states/eV per atom
Formation energy from raw total energies: -0.743 eV/atom
Magnetic moment: 0.00 Bohr magnetons per cell
Energy relative to the lowest polymorph listed for this composition: 19 meV/atom
Total DFT energy (no corrections): -13.4 eV/cell

Cell lengths 4.0723, 6.9289, 6.9835 Å; angles 102.99, 106.91, 90.14 degrees
With the nearest neighbours (Å) after each atom.
Space group P1 (No. 1)
Asymmetric unit:
1 Hg 0.0000 0.0000 0.0000  1 Bi 3.31, 2 Cl 3.54-3.56
2 Bi 0.8288 0.5659 0.6618  5 Cl 2.51-2.77
3 Cl 0.2250 0.7022 0.4523  2 Bi 2.76
4 Cl 0.4480 0.4669 0.9012  2 Bi 2.77
5 Cl 0.7094 0.2257 0.4258  1 Bi 2.51

Record 8
# HgBiCl3

A geometry-optimized HgBiCl3 structure (PBE, Alexandria via LeMat-Bulk).

## Properties
Density of states at the Fermi level: 0.00 states/eV per atom
Formation energy from raw total energies: -0.676 eV/atom
Magnetic moment: 0.00 Bohr magnetons per cell
Energy relative to the lowest polymorph listed for this composition: 86 meV/atom
Total DFT energy (no corrections): -78.6 eV/cell

Cell lengths 8.0853, 8.0853, 15.6161 Å; angles 90.00, 90.00, 120.00 degrees
With the nearest neighbours (Å) after each atom.
Space group R3c (No. 161, hexagonal axes)
Asymmetric unit:
1 Hg 0.0000 0.0000 0.0000  1 Bi 3.05, 3 Cl 3.40
2 Bi 0.0000 0.0000 0.3048  6 Cl 2.74-2.92, 1 Hg 3.05
3 Cl 0.1356 0.3786 0.3395  2 Bi 2.74-2.92

Record 9
# HgBiCl3

A geometry-optimized HgBiCl3 structure (PBE, Alexandria via LeMat-Bulk).

## Properties
Density of states at the Fermi level: 0.00 states/eV per atom
Formation energy from raw total energies: -0.481 eV/atom
Magnetic moment: 0.00 Bohr magnetons per cell
Energy relative to the lowest polymorph listed for this composition: 280 meV/atom
Total DFT energy (no corrections): -24.3 eV/cell

Cell lengths 5.0196, 5.0196, 18.5849 Å; angles 90.00, 90.00, 120.00 degrees
With the nearest neighbours (Å) after each atom.
Space group P6_3/mmc (No. 194)
Asymmetric unit:
1 Hg 0.0000 0.0000 0.0000  6 Cl 3.57
2 Bi 0.3333 0.6667 0.2500  2 Cl 2.57
3 Cl 0.0000 0.0000 0.2500  3 Bi 2.90
4 Cl 0.3333 0.6667 0.1118  1 Bi 2.57

Record 10
# Hg2BiCl2

A geometry-optimized Hg2BiCl2 structure (PBE, Alexandria via LeMat-Bulk).

## Properties
Density of states at the Fermi level: 0.76 states/eV per atom
Formation energy from raw total energies: -0.115 eV/atom
Magnetic moment: 0.00 Bohr magnetons per cell
Energy relative to the lowest polymorph listed for this composition: 195 meV/atom
Total DFT energy (no corrections): -17.5 eV/cell

Cell lengths 3.9942, 3.9942, 18.8825 Å; angles 90.00, 90.00, 90.00 degrees
With the nearest neighbours (Å) after each atom.
Space group I4/mmm (No. 139)
Asymmetric unit:
1 Hg 0.0000 0.5000 0.2500  4 Hg 2.82
2 Bi 0.0000 0.0000 0.0000  8 Cl 3.23
3 Cl 0.0000 0.0000 0.4170  1 Cl 3.13, 4 Bi 3.23

Record 11
# HgBiCl3

A geometry-optimized HgBiCl3 structure (PBE, Alexandria via LeMat-Bulk).

## Properties
Density of states at the Fermi level: 0.00 states/eV per atom
Formation energy from raw total energies: -0.711 eV/atom
Magnetic moment: 0.00 Bohr magnetons per cell
Energy relative to the lowest polymorph listed for this composition: 50 meV/atom
Total DFT energy (no corrections): -212.5 eV/cell

Cell lengths 14.5880, 14.5880, 14.5880 Å; angles 90.00, 90.00, 90.00 degrees
With the nearest neighbours (Å) after each atom.
Space group Fd-3m (No. 227, origin choice 2)
Asymmetric unit:
1 Hg 0.0000 0.0000 0.0000  6 Cl 3.74
2 Bi 0.0000 0.0000 0.5000  6 Cl 2.74
3 Cl 0.0642 0.3750 0.8750  2 Bi 2.74

Record 12
# HgBiCl3

A geometry-optimized HgBiCl3 structure (PBE, Alexandria via LeMat-Bulk).

## Properties
Density of states at the Fermi level: 0.00 states/eV per atom
Formation energy from raw total energies: -0.684 eV/atom
Magnetic moment: 0.00 Bohr magnetons per cell
Energy relative to the lowest polymorph listed for this composition: 77 meV/atom
Total DFT energy (no corrections): -26.3 eV/cell

Cell lengths 5.4407, 9.2740, 8.4271 Å; angles 90.00, 90.23, 90.00 degrees
With the nearest neighbours (Å) after each atom.
Space group P2_1/m (No. 11)
Asymmetric unit:
1 Hg 0.2482 0.2500 0.2197  1 Bi 3.42
2 Bi 0.2485 0.2500 0.6258  4 Cl 2.48-2.77
3 Cl 0.2488 0.0457 0.8161  1 Bi 2.48
4 Cl 0.2505 0.7500 0.4298  2 Bi 2.75-2.77

> The highest total DFT energy (no corrections) belongs to which entry?

number 4